Material: Th6TeRu3Rh2
Method: DFT, PBE-GGA
State: optimized geometry

Cell: 4.1064 8.5441 9.3301 Å, 103.84 102.71 90.00°
Atoms (fractional coordinates):
Th1 0.3185 0.9111 0.6370
Th2 0.6684 0.5876 0.3368
Th3 0.6815 0.0889 0.3630
Th4 0.9998 0.2825 0.9995
Th5 0.0002 0.7175 0.0005
Th6 0.3316 0.4124 0.6632
Te1 0.5000 0.0000 0.0000
Ru1 0.5000 0.5000 0.0000
Ru2 0.8367 0.1695 0.6735
Ru3 0.1633 0.8305 0.3265
Rh1 0.8310 0.6627 0.6620
Rh2 0.1690 0.3373 0.3380

Calculated values
Raw formation energy   -657 meV/atom



Material: MgAlTl2S4
Method: DFT, PBE-GGA
State: optimized geometry

Cell: 6.8102 6.8090 6.6042 Å, 121.05 121.06 89.97°
Atoms (fractional coordinates):
Mg1 0.9865 0.4865 0.9731
Al1 0.7359 0.7359 0.4718
Tl1 0.4856 0.9856 0.9712
Tl2 0.2358 0.2358 0.4715
S1 0.6947 0.6477 0.7375
S2 0.8237 0.4287 0.2058
S3 0.3821 0.7771 0.2058
S4 0.0428 0.0898 0.7374

Calculated values
Raw formation energy   -748 meV/atom



Material: Hf2Zn2Ag
Method: DFT, PBE-GGA
State: optimized geometry

Cell: 6.7316 6.7316 4.0095 Å, 90.00 90.00 90.00°
Atoms (fractional coordinates):
Zn1 0.3688 0.8688 0.0000
Zn2 0.8688 0.6312 0.0000
Zn3 0.6312 0.1312 0.0000
Zn4 0.1312 0.3688 0.0000
Hf1 0.1680 0.6680 0.5000
Hf2 0.6680 0.8320 0.5000
Hf3 0.8320 0.3320 0.5000
Hf4 0.3320 0.1680 0.5000
Ag1 0.0000 0.0000 0.0000
Ag2 0.5000 0.5000 0.0000

Calculated values
Formation energy   -132.9 meV/atom
E above lowest polymorph   0.0 meV per atom



Material: YMgPt3
Method: DFT, PBE-GGA
State: optimized geometry

Cell: 4.6725 4.6725 4.6725 Å, 90.00 90.00 90.00°
Atoms (fractional coordinates):
Y1 0.5000 0.5000 0.5000
Mg1 0.0000 0.0000 0.0000
Pt1 0.0000 0.5000 0.0000
Pt2 0.0000 0.0000 0.5000
Pt3 0.5000 0.0000 0.0000

Calculated values
Formation energy   -203.3 meV/atom
E above lowest polymorph   0.0 meV per atom



Material: La3Hg4
Method: DFT, PBE-GGA
State: optimized geometry

Cell: 6.6685 8.6935 8.6935 Å, 113.70 104.81 104.81°
Atoms (fractional coordinates):
La1 0.1008 0.6109 0.8742
La2 0.2267 0.1258 0.7368
La3 0.4899 0.2632 0.3891
La4 0.8992 0.3891 0.1258
La5 0.7733 0.8742 0.2632
La6 0.5101 0.7368 0.6109
Hg1 0.5000 0.0000 0.0000
Hg2 0.0000 0.0000 0.0000
Hg3 0.9422 0.6772 0.5228
Hg4 0.4194 0.4772 0.1544
Hg5 0.2650 0.8456 0.3228
Hg6 0.0578 0.3228 0.4772
Hg7 0.5806 0.5228 0.8456
Hg8 0.7350 0.1544 0.6772

Calculated values
Formation energy   -508.2 meV/atom
E above lowest polymorph   0.0 meV per atom



Material: MgHgPb
Method: DFT, PBE-GGA
State: optimized geometry

Cell: 3.7576 3.7576 11.7791 Å, 99.18 99.18 90.00°
Atoms (fractional coordinates):
Mg1 0.2891 0.2891 0.5781
Mg2 0.7109 0.7109 0.4219
Hg1 0.1571 0.1571 0.3141
Hg2 0.8429 0.8429 0.6859
Pb1 0.5720 0.5720 0.1440
Pb2 0.4280 0.4280 0.8560

Calculated values
Formation energy   -39.9 meV/atom